1.
Entry from Alexandria: a relaxed Tb6SiS12 crystal (PBE).

The structure in CIF format:
```
data_Tb6SiS12
_cell_length_a 7.7018
_cell_length_b 7.7018
_cell_length_c 7.7018
_cell_angle_alpha 98.84
_cell_angle_beta 98.84
_cell_angle_gamma 98.84
_symmetry_space_group_name_H-M 'P 1'
_symmetry_Int_Tables_number 1
loop_
_symmetry_equiv_pos_as_xyz
'x,y,z'
loop_
_atom_site_label
_atom_site_type_symbol
_atom_site_fract_x
_atom_site_fract_y
_atom_site_fract_z
_atom_site_occupancy
Tb1 Tb 0.7083 0.8680 0.3701 1
Tb2 Tb 0.6299 0.2917 0.1320 1
Tb3 Tb 0.1320 0.6299 0.2917 1
Tb4 Tb 0.2917 0.1320 0.6299 1
Tb5 Tb 0.3701 0.7083 0.8680 1
Tb6 Tb 0.8680 0.3701 0.7083 1
Si1 Si 0.0000 0.0000 0.0000 1
S1 S 0.8195 0.5588 0.4205 1
S2 S 0.4205 0.8195 0.5588 1
S3 S 0.5588 0.4205 0.8195 1
S4 S 0.1805 0.4412 0.5795 1
S5 S 0.5795 0.1805 0.4412 1
S6 S 0.4412 0.5795 0.1805 1
S7 S 0.0571 0.9765 0.3026 1
S8 S 0.0235 0.6974 0.9429 1
S9 S 0.6974 0.9429 0.0235 1
S10 S 0.9429 0.0235 0.6974 1
S11 S 0.9765 0.3026 0.0571 1
S12 S 0.3026 0.0571 0.9765 1
```

Summary:
As for the space group: R-3 (148). The energy relative to the elements, uncorrected is -1.61 eV/atom.


2.
Entry from Alexandria: a relaxed Li2NbP2O8 crystal (PBE).

The structure in CIF format:
```
data_Li2NbP2O8
_cell_length_a 4.9834
_cell_length_b 6.0045
_cell_length_c 10.1064
_cell_angle_alpha 89.98
_cell_angle_beta 90.00
_cell_angle_gamma 90.00
_symmetry_space_group_name_H-M 'P 1'
_symmetry_Int_Tables_number 1
loop_
_symmetry_equiv_pos_as_xyz
'x,y,z'
loop_
_atom_site_label
_atom_site_type_symbol
_atom_site_fract_x
_atom_site_fract_y
_atom_site_fract_z
_atom_site_occupancy
Li1 Li 0.6895 0.7306 0.5554 1
Li2 Li 0.3105 0.7306 0.0554 1
Li3 Li 0.2684 0.7332 0.7328 1
Li4 Li 0.7316 0.7332 0.2328 1
Nb1 Nb 0.8245 0.2308 0.7716 1
Nb2 Nb 0.1755 0.2308 0.2716 1
P1 P 0.4027 0.2304 0.5829 1
P2 P 0.5973 0.2304 0.0829 1
P3 P 0.8207 0.7306 0.9085 1
P4 P 0.1793 0.7306 0.4085 1
O1 O 0.5534 0.0283 0.6487 1
O2 O 0.4466 0.0283 0.1487 1
O3 O 0.5581 0.2303 0.9316 1
O4 O 0.4419 0.2303 0.4316 1
O5 O 0.1019 0.2307 0.6164 1
O6 O 0.8981 0.2307 0.1164 1
O7 O 0.5541 0.4324 0.6484 1
O8 O 0.4459 0.4324 0.1484 1
O9 O 0.9597 0.5276 0.8316 1
O10 O 0.0403 0.5276 0.3316 1
O11 O 0.5196 0.7307 0.8900 1
O12 O 0.4804 0.7307 0.3900 1
O13 O 0.0827 0.7308 0.5508 1
O14 O 0.9173 0.7308 0.0508 1
O15 O 0.9598 0.9336 0.8314 1
O16 O 0.0402 0.9336 0.3314 1
```

Summary:
The energy above the lowest structure with this stoichiometry comes out at 0.032 eV per atom. As for the space group: Pc (7). The energy relative to the elements, uncorrected is -2.29 eV/atom.